DyErGa2 after structural relaxation. Source: OQMD, functional PBE.

Lattice parameters (Å, degrees): 5.039 6.324 11.624 90.00 90.00 90.00
Element x y z (fractional)
1 Dy 0.000 0.000 0.000
2 Dy 0.000 0.500 0.500
3 Dy 0.500 0.000 0.385
4 Dy 0.500 0.500 0.885
5 Er 0.000 0.239 0.748
6 Er 0.000 0.261 0.248
7 Er 0.000 0.739 0.248
8 Er 0.000 0.761 0.748
9 Ga 0.000 0.000 0.519
10 Ga 0.000 0.500 0.019
11 Ga 0.500 0.000 0.832
12 Ga 0.500 0.217 0.117
13 Ga 0.500 0.283 0.617
14 Ga 0.500 0.500 0.332
15 Ga 0.500 0.717 0.617
16 Ga 0.500 0.783 0.117

As for the calculated density: 8.41 Mg/m³. For the calculated total energy, the calculation gives -4.158 eV per atom.